Record 1
Below is a PBEsol-optimized structure of Mg2MnW, with properties calculated at the SCAN level.

Cell: 8.914 2.732 5.307 Å, 90.00 95.41 90.00°
Element x y z (fractional)
Mg 0.000 0.000 0.000
Mg 0.242 0.000 0.748
Mg 0.500 0.500 0.000
Mg 0.742 0.500 0.748
Mn 0.497 0.000 0.457
Mn 0.997 0.500 0.457
W 0.251 0.500 0.280
W 0.751 0.000 0.280

Results
Calculated density: 7.42 g/cm³
SG: Cm, No. 8
Formation energy from the elements: 0.3704 eV/atom



Record 2
Below is a PBEsol-optimized structure of MgMnW, with properties calculated at the SCAN level.

Cell: 2.691 2.691 12.889 Å, 90.00 90.00 90.00°
Element x y z (fractional)
Mg 0.000 0.000 0.000
Mg 0.500 0.500 0.500
Mn 0.000 0.000 0.669
Mn 0.500 0.500 0.169
W 0.000 0.000 0.320
W 0.500 0.500 0.820

Results
Calculated density: 9.36 g/cm³
SG: I4mm, No. 107
Formation energy from the elements: 0.2899 eV/atom



Record 3
Below is a PBEsol-optimized structure of MgMnW2, with properties calculated at the SCAN level.

Cell: 3.184 4.259 4.459 Å, 90.00 90.00 90.00°
Element x y z (fractional)
Mg 0.000 0.000 0.000
Mn 0.500 0.500 0.000
W 0.000 0.500 0.500
W 0.500 0.000 0.500

Results
Calculated density: 12.27 g/cm³
SG: Pmmm, No. 47
Formation energy from the elements: 0.3069 eV/atom



Record 4
Below is a PBEsol-optimized structure of MgMn2W, with properties calculated at the SCAN level.

Cell: 2.693 2.693 7.482 Å, 90.00 90.00 90.00°
Element x y z (fractional)
Mg 0.000 0.000 0.000
Mn 0.000 0.000 0.429
Mn 0.500 0.500 0.268
W 0.500 0.500 0.691

Results
Calculated density: 9.73 g/cm³
SG: P4mm, No. 99
Formation energy from the elements: 0.3148 eV/atom



Record 5
Below is a PBEsol-optimized structure of Mg4MnW, with properties calculated at the SCAN level.

Cell: 5.373 5.373 5.373 Å, 60.00 60.00 60.00°
Element x y z (fractional)
Mg 0.376 0.376 0.376
Mg 0.376 0.376 0.873
Mg 0.376 0.873 0.376
Mg 0.873 0.376 0.376
Mn 0.000 0.000 0.000
W 0.750 0.750 0.750

Results
Calculated density: 5.09 g/cm³
SG: F-43m, No. 216
Formation energy from the elements: 0.6735 eV/atom



Record 6
Below is a PBEsol-optimized structure of Mg2MnW, with properties calculated at the SCAN level.

Cell: 3.038 3.038 7.117 Å, 90.00 90.00 90.00°
Element x y z (fractional)
Mg 0.000 0.000 0.000
Mg 0.500 0.500 0.314
Mn 0.000 0.000 0.562
W 0.500 0.500 0.726

Results
Calculated density: 7.27 g/cm³
SG: P4mm, No. 99
Formation energy from the elements: 0.2209 eV/atom



Record 7
Below is a PBEsol-optimized structure of MgMn3W, with properties calculated at the SCAN level.

Cell: 4.540 4.540 4.540 Å, 90.00 90.00 90.00°
Element x y z (fractional)
Mg 0.000 0.000 0.000
Mn 0.000 0.500 0.500
Mn 0.500 0.000 0.500
Mn 0.500 0.500 0.000
W 0.500 0.500 0.500

Results
Calculated density: 6.62 g/cm³
SG: Pm-3m, No. 221
Formation energy from the elements: 1.0180 eV/atom



Record 8
Below is a PBEsol-optimized structure of Y2MgMn, with properties calculated at the SCAN level.

Cell: 3.402 3.402 8.215 Å, 90.00 90.00 90.00°
Element x y z (fractional)
Y 0.000 0.000 0.000
Y 0.500 0.500 0.326
Mg 0.000 0.000 0.602
Mn 0.500 0.500 0.782

Results
Calculated density: 4.49 g/cm³
SG: P4mm, No. 99
Formation energy from the elements: -0.0104 eV/atom



Record 9
Below is a PBEsol-optimized structure of YMg2Mn, with properties calculated at the SCAN level.

Cell: 5.844 10.729 3.078 Å, 90.00 114.62 90.00°
Element x y z (fractional)
Y 0.000 0.000 0.000
Y 0.500 0.500 0.000
Mg 0.250 0.250 0.500
Mg 0.250 0.750 0.500
Mg 0.750 0.250 0.500
Mg 0.750 0.750 0.500
Mn 0.000 0.500 0.000
Mn 0.500 0.000 0.000

Results
Calculated density: 3.64 g/cm³
SG: C2/m, No. 12
Formation energy from the elements: 0.1225 eV/atom



Record 10
Below is a PBEsol-optimized structure of Y2MgMn, with properties calculated at the SCAN level.

Cell: 5.106 5.106 3.646 Å, 90.00 90.00 90.00°
Element x y z (fractional)
Y 0.000 0.500 0.000
Y 0.500 0.000 0.000
Mg 0.000 0.000 0.500
Mn 0.500 0.500 0.500

Results
Calculated density: 4.49 g/cm³
SG: P4/mmm, No. 123
Formation energy from the elements: -0.1062 eV/atom



Record 11
Below is a PBEsol-optimized structure of YMgMn3, with properties calculated at the SCAN level.

Cell: 4.812 4.812 4.812 Å, 90.00 90.00 90.00°
Element x y z (fractional)
Y 0.000 0.000 0.000
Mg 0.500 0.500 0.500
Mn 0.000 0.000 0.500
Mn 0.000 0.500 0.000
Mn 0.500 0.000 0.000

Results
Calculated density: 4.14 g/cm³
SG: Pm-3m, No. 221
Formation energy from the elements: 1.2141 eV/atom



Record 12
Below is a PBEsol-optimized structure of MgMn2Zn, with properties calculated at the SCAN level.

Cell: 3.886 3.886 3.741 Å, 90.00 90.00 90.00°
Element x y z (fractional)
Mg 0.000 0.000 0.000
Mn 0.000 0.500 0.500
Mn 0.500 0.000 0.500
Zn 0.500 0.500 0.000

Results
Calculated density: 5.87 g/cm³
SG: P4/mmm, No. 123
Formation energy from the elements: -0.0468 eV/atom



Record 13
Below is a PBEsol-optimized structure of Mg2MnZn, with properties calculated at the SCAN level.

Cell: 2.904 4.395 5.531 Å, 90.00 103.49 90.00°
Element x y z (fractional)
Mg 0.000 0.000 0.000
Mg 0.300 0.500 0.674
Mn 0.623 0.500 0.211
Zn 0.665 0.000 0.458

Results
Calculated density: 4.09 g/cm³
SG: Pm, No. 6
Formation energy from the elements: -0.0292 eV/atom



Record 14
Below is a PBEsol-optimized structure of Mg2MnZn, with properties calculated at the SCAN level.

Cell: 3.400 4.451 8.902 Å, 90.00 90.00 90.00°
Element x y z (fractional)
Mg 0.000 0.000 0.246
Mg 0.000 0.000 0.754
Mg 0.500 0.500 0.254
Mg 0.500 0.500 0.746
Mn 0.000 0.500 0.000
Mn 0.500 0.000 0.500
Zn 0.000 0.500 0.500
Zn 0.500 0.000 0.000

Results
Calculated density: 4.17 g/cm³
SG: Immm, No. 71
Formation energy from the elements: 0.0088 eV/atom



Record 15
Below is a PBEsol-optimized structure of MgMn2Zn, with properties calculated at the SCAN level.

Cell: 2.817 3.612 5.613 Å, 90.00 90.00 90.00°
Element x y z (fractional)
Mg 0.000 0.000 0.000
Mn 0.500 0.500 0.269
Mn 0.500 0.500 0.731
Zn 0.000 0.000 0.500

Results
Calculated density: 5.80 g/cm³
SG: Pmmm, No. 47
Formation energy from the elements: -0.0236 eV/atom



Record 16
Below is a PBEsol-optimized structure of Mg2MnZn, with properties calculated at the SCAN level.

Cell: 4.558 4.558 6.366 Å, 90.00 90.00 90.00°
Element x y z (fractional)
Mg 0.000 0.000 0.000
Mg 0.000 0.500 0.250
Mg 0.500 0.000 0.750
Mg 0.500 0.500 0.500
Mn 0.000 0.500 0.750
Mn 0.500 0.000 0.250
Zn 0.000 0.000 0.500
Zn 0.500 0.500 0.000

Results
Calculated density: 4.24 g/cm³
SG: I-4m2, No. 119
Formation energy from the elements: -0.0727 eV/atom



Record 17
Below is a PBEsol-optimized structure of MgMnZn4, with properties calculated at the SCAN level.

Cell: 4.992 4.992 4.992 Å, 60.00 60.00 60.00°
Element x y z (fractional)
Mg 0.000 0.000 0.000
Mn 0.750 0.750 0.750
Zn 0.376 0.376 0.376
Zn 0.376 0.376 0.873
Zn 0.376 0.873 0.376
Zn 0.873 0.376 0.376

Results
Calculated density: 6.44 g/cm³
SG: F-43m, No. 216
Formation energy from the elements: -0.1772 eV/atom



Record 18
Below is a PBEsol-optimized structure of MgMn2Zn, with properties calculated at the SCAN level.

Cell: 9.118 2.770 4.684 Å, 90.00 103.76 90.00°
Element x y z (fractional)
Mg 0.000 0.000 0.000
Mg 0.500 0.500 0.000
Mn 0.238 0.000 0.718
Mn 0.498 0.000 0.506
Mn 0.738 0.500 0.718
Mn 0.998 0.500 0.506
Zn 0.258 0.500 0.255
Zn 0.758 0.000 0.255

Results
Calculated density: 5.77 g/cm³
SG: Cm, No. 8
Formation energy from the elements: 0.0127 eV/atom



Record 19
Below is a PBEsol-optimized structure of MgZrMn2, with properties calculated at the SCAN level.

Cell: 6.280 6.280 6.280 Å, 90.00 90.00 90.00°
Element x y z (fractional)
Mg 0.000 0.000 0.000
Mg 0.000 0.500 0.500
Mg 0.500 0.000 0.500
Mg 0.500 0.500 0.000
Zr 0.000 0.000 0.500
Zr 0.000 0.500 0.000
Zr 0.500 0.000 0.000
Zr 0.500 0.500 0.500
Mn 0.250 0.250 0.250
Mn 0.250 0.250 0.750
Mn 0.250 0.750 0.250
Mn 0.250 0.750 0.750
Mn 0.750 0.250 0.250
Mn 0.750 0.250 0.750
Mn 0.750 0.750 0.250
Mn 0.750 0.750 0.750

Results
Calculated density: 6.04 g/cm³
SG: Fm-3m, No. 225
Formation energy from the elements: 0.0300 eV/atom



Record 20
Below is a PBEsol-optimized structure of Mg4ZrMn, with properties calculated at the SCAN level.

Cell: 5.566 5.566 5.566 Å, 60.00 60.00 60.00°
Element x y z (fractional)
Mg 0.125 0.125 0.125
Mg 0.125 0.125 0.625
Mg 0.125 0.625 0.125
Mg 0.625 0.125 0.125
Zr 0.750 0.750 0.750
Mn 0.500 0.500 0.500

Results
Calculated density: 3.31 g/cm³
SG: F-43m, No. 216
Formation energy from the elements: 0.2065 eV/atom



Record 21
Below is a PBEsol-optimized structure of MgZrMn, with properties calculated at the SCAN level.

Cell: 6.443 6.443 6.443 Å, 90.00 90.00 90.00°
Element x y z (fractional)
Mg 0.000 0.000 0.000
Mg 0.000 0.500 0.500
Mg 0.500 0.000 0.500
Mg 0.500 0.500 0.000
Zr 0.250 0.250 0.750
Zr 0.250 0.750 0.250
Zr 0.750 0.250 0.250
Zr 0.750 0.750 0.750
Mn 0.000 0.000 0.500
Mn 0.000 0.500 0.000
Mn 0.500 0.000 0.000
Mn 0.500 0.500 0.500

Results
Calculated density: 4.23 g/cm³
SG: F-43m, No. 216
Formation energy from the elements: 0.8738 eV/atom



Record 22
Below is a PBEsol-optimized structure of MgZr2Mn, with properties calculated at the SCAN level.

Cell: 3.099 3.099 8.003 Å, 90.00 90.00 90.00°
Element x y z (fractional)
Mg 0.000 0.000 0.000
Zr 0.500 0.500 0.307
Zr 0.500 0.500 0.693
Mn 0.000 0.000 0.500

Results
Calculated density: 5.65 g/cm³
SG: P4/mmm, No. 123
Formation energy from the elements: -0.0247 eV/atom



Record 23
Below is a PBEsol-optimized structure of MgMo, with properties calculated at the SCAN level.

Cell: 6.397 6.397 6.397 Å, 90.00 90.00 90.00°
Element x y z (fractional)
Mg 0.125 0.125 0.125
Mg 0.125 0.625 0.625
Mg 0.375 0.375 0.875
Mg 0.375 0.875 0.375
Mg 0.625 0.125 0.625
Mg 0.625 0.625 0.125
Mg 0.875 0.375 0.375
Mg 0.875 0.875 0.875
Mo 0.125 0.125 0.625
Mo 0.125 0.625 0.125
Mo 0.375 0.375 0.375
Mo 0.375 0.875 0.875
Mo 0.625 0.125 0.125
Mo 0.625 0.625 0.625
Mo 0.875 0.375 0.875
Mo 0.875 0.875 0.375

Results
Calculated density: 6.10 g/cm³
SG: Fd-3m, No. 227
Formation energy from the elements: 0.3156 eV/atom



Record 24
Below is a PBEsol-optimized structure of MgMo, with properties calculated at the SCAN level.

Cell: 3.214 3.214 3.214 Å, 90.00 90.00 90.00°
Element x y z (fractional)
Mg 0.000 0.000 0.000
Mo 0.500 0.500 0.500

Results
Calculated density: 6.02 g/cm³
SG: Pm-3m, No. 221
Formation energy from the elements: 0.8595 eV/atom



Record 25
Below is a PBEsol-optimized structure of MgMo3, with properties calculated at the SCAN level.

Cell: 6.293 6.293 6.293 Å, 90.00 90.00 90.00°
Element x y z (fractional)
Mg 0.000 0.000 0.000
Mg 0.000 0.500 0.500
Mg 0.500 0.000 0.500
Mg 0.500 0.500 0.000
Mo 0.000 0.000 0.500
Mo 0.000 0.500 0.000
Mo 0.250 0.250 0.250
Mo 0.250 0.250 0.750
Mo 0.250 0.750 0.250
Mo 0.250 0.750 0.750
Mo 0.500 0.000 0.000
Mo 0.500 0.500 0.500
Mo 0.750 0.250 0.250
Mo 0.750 0.250 0.750
Mo 0.750 0.750 0.250
Mo 0.750 0.750 0.750

Results
Calculated density: 8.32 g/cm³
SG: Fm-3m, No. 225
Formation energy from the elements: 0.3908 eV/atom



Record 26
Below is a PBEsol-optimized structure of MgMo3, with properties calculated at the SCAN level.

Cell: 2.633 2.633 9.289 Å, 90.00 90.00 90.00°
Element x y z (fractional)
Mg 0.000 0.000 0.000
Mo 0.000 0.000 0.500
Mo 0.500 0.500 0.254
Mo 0.500 0.500 0.746

Results
Calculated density: 8.05 g/cm³
SG: P4/mmm, No. 123
Formation energy from the elements: 0.4096 eV/atom



Record 27
Below is a PBEsol-optimized structure of MgMo, with properties calculated at the SCAN level.

Cell: 6.371 6.371 6.371 Å, 90.00 90.00 90.00°
Element x y z (fractional)
Mg 0.000 0.000 0.000
Mg 0.000 0.500 0.500
Mg 0.500 0.000 0.500
Mg 0.500 0.500 0.000
Mo 0.250 0.250 0.750
Mo 0.250 0.750 0.250
Mo 0.750 0.250 0.250
Mo 0.750 0.750 0.750

Results
Calculated density: 3.09 g/cm³
SG: F-43m, No. 216
Formation energy from the elements: 2.5277 eV/atom



Record 28
Below is a PBEsol-optimized structure of MgMo, with properties calculated at the SCAN level.

Cell: 2.815 2.815 14.623 Å, 90.00 90.00 120.00°
Element x y z (fractional)
Mg 0.000 0.000 0.000
Mg 0.333 0.667 0.667
Mg 0.667 0.333 0.333
Mo 0.000 0.000 0.500
Mo 0.333 0.667 0.167
Mo 0.667 0.333 0.833

Results
Calculated density: 5.97 g/cm³
SG: R-3m, No. 166
Formation energy from the elements: 0.4453 eV/atom



Record 29
Below is a PBEsol-optimized structure of Mg5Mo, with properties calculated at the SCAN level.

Cell: 5.594 5.594 5.594 Å, 60.00 60.00 60.00°
Element x y z (fractional)
Mg 0.000 0.000 0.000
Mg 0.376 0.376 0.376
Mg 0.376 0.376 0.873
Mg 0.376 0.873 0.376
Mg 0.873 0.376 0.376
Mo 0.750 0.750 0.750

Results
Calculated density: 2.92 g/cm³
SG: F-43m, No. 216
Formation energy from the elements: 0.4216 eV/atom



Record 30
Below is a PBEsol-optimized structure of Mg3MoN4, with properties calculated at the SCAN level.

Cell: 6.732 5.821 5.206 Å, 90.00 90.00 90.00°
Element x y z (fractional)
Mg 0.000 0.161 0.000
Mg 0.248 0.331 0.501
Mg 0.252 0.669 0.001
Mg 0.500 0.839 0.500
Mg 0.748 0.669 0.001
Mg 0.752 0.331 0.501
Mo 0.000 0.829 0.510
Mo 0.500 0.171 0.010
N 0.000 0.134 0.405
N 0.000 0.827 0.863
N 0.230 0.678 0.404
N 0.270 0.322 0.904
N 0.500 0.173 0.363
N 0.500 0.866 0.905
N 0.730 0.322 0.904
N 0.770 0.678 0.404

Results
Calculated density: 3.66 g/cm³
SG: Pmn2_1, No. 31
Energy relative to the elements, uncorrected: -1.04 eV per atom